CaBeVO4 PBE with a Hubbard U relaxed; mass density = 3.285 Mg/m³; space-group type = No. 63; DFT total energy = -100.1 eV/cell
1.0
5.386 0.079 0.000
-2.091 4.964 0.000
0.000 0.000 6.165
Be V O Ca
2 2 8 2
Direct
0.135 0.865 0.250
0.865 0.135 0.750
0.144 0.856 0.750
0.856 0.144 0.250
0.199 0.220 0.750
0.232 0.768 0.484
0.232 0.768 0.016
0.768 0.232 0.984
0.801 0.780 0.250
0.780 0.801 0.750
0.220 0.199 0.250
0.768 0.232 0.516
0.500 0.500 0.500
0.500 0.500 0.000